Below is a crystal of Li2IrPt relaxed with PBEsol, with properties calculated at the SCAN level.

Calculated values
- Calculated volume: 53.5 Å³ per cell
- Size of the total moment: 0.20 μB per formula unit
- Uncorrected energy: -147.91 eV per cell
- Mass density: 12.44 g cm⁻³

a b c (Å): 5.083 5.083 5.083
angles (deg): 149.15 126.58 62.97
Positions (direct):
1 Li 0.248 0.248 0.000
2 Li 0.752 0.752 0.000
3 Ir 0.500 0.000 0.500
4 Pt 0.000 0.500 0.500